(1)
The following is a DFT calculation (PBE) of a relaxed Pa2HAu crystal.

Lattice parameters (Å, degrees): 3.035 3.035 7.603 90.00 90.00 90.00
Space group P4/mmm (No. 123)
One atom of each set of equivalent atoms:
Pa 0.000 0.000 0.190 x2
H 0.500 0.500 0.000 x1
Au 0.500 0.500 0.500 x1

## Properties
Spin magnetization in μB per formula unit: 0.00
VASP energy in eV per cell: -25.5
Density of states at the Fermi level in states/eV per cell: 7.77

---

(2)
The following is a DFT calculation (PBE) of a relaxed KZrTa2 crystal.

Lattice parameters (Å, degrees): 3.017 4.609 7.874 90.00 90.00 90.00
Space group Pmmm (No. 47)
One atom of each set of equivalent atoms:
K 0.000 0.000 0.000 x1
Zr 0.000 0.000 0.500 x1
Ta 0.500 0.500 0.335 x2

## Properties
Spin magnetization in μB per formula unit: 0.00
VASP energy in eV per cell: -29.8
Density of states at the Fermi level in states/eV per cell: 6.76

---

(3)
The following is a DFT calculation (PBE) of a relaxed RbNb3Pd crystal.

Lattice parameters (Å, degrees): 5.077 5.077 5.077 90.00 90.00 90.00
Space group Pm-3m (No. 221)
One atom of each set of equivalent atoms:
Rb 0.000 0.000 0.000 x1
Nb 0.000 0.500 0.500 x3
Pd 0.500 0.500 0.500 x1

## Properties
Spin magnetization in μB per formula unit: 2.19
VASP energy in eV per cell: -28.5
Density of states at the Fermi level in states/eV per cell: 7.70

---

(4)
The following is a DFT calculation (PBE) of a relaxed Li4AlAg5 crystal.

Lattice parameters (Å, degrees): 3.159 3.159 16.022 90.00 90.00 90.00
Space group P4/mmm (No. 123)
One atom of each set of equivalent atoms:
Li 0.000 0.000 0.100 x2
Li 0.000 0.000 0.298 x2
Al 0.000 0.000 0.500 x1
Ag 0.500 0.500 0.000 x1
Ag 0.500 0.500 0.199 x2
Ag 0.500 0.500 0.399 x2

## Properties
Spin magnetization in μB per formula unit: 0.00
VASP energy in eV per cell: -27.6
Density of states at the Fermi level in states/eV per cell: 2.89

---

(5)
The following is a DFT calculation (PBE) of a relaxed CdTeRu crystal.

Lattice parameters (Å, degrees): 6.405 6.405 6.405 90.00 90.00 90.00
Space group F-43m (No. 216)
One atom of each set of equivalent atoms:
Cd 0.000 0.000 0.000 x4
Te 0.000 0.000 0.500 x4
Ru 0.250 0.250 0.750 x4

## Properties
Raw formation energy in eV/atom: 0.191
Spin magnetization in μB per formula unit: 0.00
VASP energy in eV per cell: -51.0
Density of states at the Fermi level in states/eV per cell: 14.91

---

(6)
The following is a DFT calculation (PBE) of a relaxed LiCe2Au2 crystal.

Lattice parameters (Å, degrees): 4.730 16.087 5.879 90.00 90.00 90.00
Space group Cmc2_1 (No. 36)
One atom of each set of equivalent atoms:
Li 0.000 0.094 0.000 x4
Ce 0.000 0.283 0.181 x4
Ce 0.000 0.475 0.213 x4
Au 0.000 0.100 0.469 x4
Au 0.000 0.341 0.669 x4

## Properties
Spin magnetization in μB per formula unit: 1.65
VASP energy in eV per cell: -90.6
Density of states at the Fermi level in states/eV per cell: 44.51

---

(7)
The following is a DFT calculation (PBE) of a relaxed NaCd3Sn crystal.

Lattice parameters (Å, degrees): 8.585 7.910 8.448 90.00 118.59 90.00
Space group P2_1/c (No. 14)
One atom of each set of equivalent atoms:
Na 0.079 0.205 0.038 x4
Cd 0.200 0.562 0.287 x4
Cd 0.414 0.249 0.957 x4
Cd 0.424 0.536 0.710 x4
Sn 0.201 0.571 0.906 x4

## Properties
Spin magnetization in μB per formula unit: 0.00
VASP energy in eV per cell: -33.3
Density of states at the Fermi level in states/eV per cell: 7.47

---

(8)
The following is a DFT calculation (PBE) of a relaxed Dy9TlIn2 crystal.

Lattice parameters (Å, degrees): 4.844 4.844 14.536 90.00 90.00 90.00
Space group P4/mmm (No. 123)
One atom of each set of equivalent atoms:
Dy 0.000 0.000 0.000 x1
Dy 0.000 0.000 0.334 x2
Dy 0.000 0.500 0.168 x4
Dy 0.000 0.500 0.500 x2
Tl 0.500 0.500 0.000 x1
In 0.500 0.500 0.334 x2

## Properties
Spin magnetization in μB per formula unit: 0.86
VASP energy in eV per cell: -52.1
Density of states at the Fermi level in states/eV per cell: 18.69

---

(9)
The following is a DFT calculation (PBE) of a relaxed Sm3AuC crystal.

Lattice parameters (Å, degrees): 8.860 3.739 14.611 90.00 90.00 90.00
Space group Pnma (No. 62)
One atom of each set of equivalent atoms:
Sm 0.010 0.250 0.102 x4
Sm 0.177 0.250 0.525 x4
Sm 0.193 0.750 0.309 x4
Au 0.097 0.750 0.685 x4
C 0.161 0.250 0.952 x4

## Properties
Spin magnetization in μB per formula unit: 0.00
VASP energy in eV per cell: -114.9
Density of states at the Fermi level in states/eV per cell: 20.96

---

(10)
The following is a DFT calculation (PBE) of a relaxed TaPb2Au crystal.

Lattice parameters (Å, degrees): 3.107 3.107 9.748 90.00 90.00 90.00
Space group P4/mmm (No. 123)
One atom of each set of equivalent atoms:
Ta 0.000 0.000 0.000 x1
Pb 0.500 0.500 0.243 x2
Au 0.000 0.000 0.500 x1

## Properties
Spin magnetization in μB per formula unit: 0.00
VASP energy in eV per cell: -20.5
Density of states at the Fermi level in states/eV per cell: 3.93

---

(11)
The following is a DFT calculation (PBE) of a relaxed Al2ZnSe crystal.

Lattice parameters (Å, degrees): 5.760 7.410 3.417 90.00 90.00 90.00
Space group Cmmm (No. 65)
One atom of each set of equivalent atoms:
Al 0.250 0.250 0.000 x4
Zn 0.000 0.000 0.500 x2
Se 0.000 0.500 0.500 x2

## Properties
Raw formation energy in eV/atom: 0.071
Spin magnetization in μB per formula unit: 0.00
VASP energy in eV per cell: -23.9
Density of states at the Fermi level in states/eV per cell: 2.29

---

(12)
The following is a DFT calculation (PBE) of a relaxed La3Dy4Er8 crystal.

Lattice parameters (Å, degrees): 13.401 12.859 6.726 90.00 120.05 90.00
Space group C2/m (No. 12)
One atom of each set of equivalent atoms:
La 0.000 0.000 0.000 x2
La 0.250 0.250 0.000 x4
Dy 0.000 0.000 0.500 x2
Dy 0.000 0.500 0.000 x2
Dy 0.250 0.250 0.500 x4
Er 0.000 0.256 0.000 x4
Er 0.000 0.364 0.500 x4
Er 0.231 0.500 0.970 x4
Er 0.232 0.500 0.490 x4

## Properties
Spin magnetization in μB per formula unit: 0.00
VASP energy in eV per cell: -127.8
Density of states at the Fermi level in states/eV per cell: 61.94

---

(13)
The following is a DFT calculation (PBE) of a relaxed SrAlCdC2 crystal.

Lattice parameters (Å, degrees): 4.155 4.155 5.833 90.00 90.00 90.00
Space group P4/mmm (No. 123)
One atom of each set of equivalent atoms:
Sr 0.000 0.000 0.000 x1
Al 0.000 0.000 0.500 x1
Cd 0.500 0.500 0.000 x1
C 0.000 0.500 0.500 x2

## Properties
Spin magnetization in μB per formula unit: 0.00
VASP energy in eV per cell: -16.8
Density of states at the Fermi level in states/eV per cell: 2.90

---

(14)
The following is a DFT calculation (PBE) of a relaxed LaPrInPb crystal.

Lattice parameters (Å, degrees): 4.524 4.805 12.075 90.00 90.00 90.00
Space group Amm2 (No. 38)
One atom of each set of equivalent atoms:
La 0.000 0.000 0.000 x2
Pr 0.500 0.000 0.726 x2
In 0.500 0.000 0.448 x2
Pb 0.000 0.000 0.277 x2

## Properties
Spin magnetization in μB per formula unit: 0.00
VASP energy in eV per cell: -36.7
Density of states at the Fermi level in states/eV per cell: 8.93

---

(15)
The following is a DFT calculation (PBE) of a relaxed Rb4U3VS8 crystal.

Lattice parameters (Å, degrees): 7.9638 7.9638 23.2120 90.00 90.00 120.00
Space group R-3m (No. 166, hexagonal axes)
One atom of each set of equivalent atoms:
Rb 0.0000 0.0000 0.0000 x3
Rb 0.0000 0.5000 0.0000 x9
U 0.0000 0.5000 0.5000 x9
V 0.0000 0.0000 0.5000 x3
S 0.0000 0.0000 0.2326 x6
S 0.0133 0.5066 0.2293 x18

## Properties
Raw formation energy in eV/atom: -1.261
Spin magnetization in μB per formula unit: 11.01
VASP energy in eV per cell: -300.2
Density of states at the Fermi level in states/eV per cell: 44.44

---

(16)
The following is a DFT calculation (PBE) of a relaxed Na2PmHo3Se6 crystal.

Lattice parameters (Å, degrees): 7.120 12.321 7.231 90.00 109.13 90.00
Space group C2/m (No. 12)
One atom of each set of equivalent atoms:
Na 0.000 0.166 0.000 x4
Pm 0.000 0.500 0.000 x2
Ho 0.000 0.000 0.500 x2
Ho 0.000 0.332 0.500 x4
Se 0.246 0.500 0.738 x4
Se 0.247 0.167 0.741 x8

## Properties
Raw formation energy in eV/atom: -1.721
Spin magnetization in μB per formula unit: 0.00
VASP energy in eV per cell: -125.4
Density of states at the Fermi level in states/eV per cell: 6.17

---

(17)
The following is a DFT calculation (PBE) of a relaxed Ca2Ge2I crystal.

Lattice parameters (Å, degrees): 5.658 5.658 9.791 90.00 90.00 90.00
Space group I4/mmm (No. 139)
One atom of each set of equivalent atoms:
Ca 0.000 0.500 0.250 x4
Ge 0.000 0.000 0.116 x4
I 0.000 0.000 0.500 x2

## Properties
Raw formation energy in eV/atom: -0.426
Spin magnetization in μB per formula unit: 0.00
VASP energy in eV per cell: -33.8
Density of states at the Fermi level in states/eV per cell: 4.69

---

(18)
The following is a DFT calculation (PBE) of a relaxed SrHf2TeO8 crystal.

Lattice parameters (Å, degrees): 6.796 7.080 6.736 90.00 90.00 90.00
Space group Cmmm (No. 65)
One atom of each set of equivalent atoms:
Sr 0.000 0.000 0.000 x2
Hf 0.000 0.500 0.245 x4
Te 0.000 0.000 0.500 x2
O 0.000 0.284 0.500 x4
O 0.000 0.330 0.000 x4
O 0.201 0.000 0.296 x8

## Properties
Raw formation energy in eV/atom: -2.537
Spin magnetization in μB per formula unit: 0.00
VASP energy in eV per cell: -189.7
Density of states at the Fermi level in states/eV per cell: 0.00

---

(19)
The following is a DFT calculation (PBE) of a relaxed BaTcHg2 crystal.

Lattice parameters (Å, degrees): 4.748 4.748 9.689 90.00 90.00 90.00
Space group I-4m2 (No. 119)
One atom of each set of equivalent atoms:
Ba 0.000 0.000 0.000 x2
Tc 0.000 0.500 0.250 x2
Hg 0.000 0.000 0.500 x2
Hg 0.000 0.500 0.750 x2

## Properties
Spin magnetization in μB per formula unit: 2.89
VASP energy in eV per cell: -21.1
Density of states at the Fermi level in states/eV per cell: 7.83

---

(20)
The following is a DFT calculation (PBE) of a relaxed ScCdReS2 crystal.

Lattice parameters (Å, degrees): 4.809 4.809 5.825 90.00 90.00 90.00
Space group P4/mmm (No. 123)
One atom of each set of equivalent atoms:
Sc 0.000 0.000 0.000 x1
Cd 0.000 0.000 0.500 x1
Re 0.500 0.500 0.500 x1
S 0.000 0.500 0.000 x2

## Properties
Raw formation energy in eV/atom: 0.817
Spin magnetization in μB per formula unit: 5.26
VASP energy in eV per cell: -23.9
Density of states at the Fermi level in states/eV per cell: 3.32

---

(21)
The following is a DFT calculation (PBE) of a relaxed Pt4Se3 crystal.

Lattice parameters (Å, degrees): 5.2721 5.2721 5.1921 90.00 90.00 120.00
Space group P6/mmm (No. 191)
One atom of each set of equivalent atoms:
Pt 0.0000 0.0000 0.2437 x2
Pt 0.3333 0.6667 0.0000 x2
Se 0.0000 0.5000 0.5000 x3

## Properties
Raw formation energy in eV/atom: 0.786
Spin magnetization in μB per formula unit: 0.00
VASP energy in eV per cell: -29.1
Density of states at the Fermi level in states/eV per cell: 6.43

---

(22)
The following is a DFT calculation (PBE) of a relaxed Zr4Br5N crystal.

Lattice parameters (Å, degrees): 18.562 3.675 7.683 90.00 103.20 90.00
Space group C2/m (No. 12)
One atom of each set of equivalent atoms:
Zr 0.003 0.000 0.311 x4
Zr 0.115 0.500 0.550 x4
Br 0.000 0.500 0.000 x2
Br 0.153 0.000 0.828 x4
Br 0.160 0.000 0.330 x4
N 0.000 0.500 0.500 x2

## Properties
Raw formation energy in eV/atom: -1.143
Spin magnetization in μB per formula unit: 0.00
VASP energy in eV per cell: -124.6
Density of states at the Fermi level in states/eV per cell: 5.70

---

(23)
The following is a DFT calculation (PBE) of a relaxed MgVNiIr crystal.

Lattice parameters (Å, degrees): 6.047 6.047 6.047 90.00 90.00 90.00
Space group F-43m (No. 216)
One atom of each set of equivalent atoms:
Mg 0.000 0.000 0.000 x4
V 0.000 0.000 0.500 x4
Ni 0.250 0.250 0.250 x4
Ir 0.250 0.250 0.750 x4

## Properties
Spin magnetization in μB per formula unit: 1.49
VASP energy in eV per cell: -105.7
Density of states at the Fermi level in states/eV per cell: 16.14

---

(24)
The following is a DFT calculation (PBE) of a relaxed Pm4PrSe4 crystal.

Lattice parameters (Å, degrees): 9.332 9.332 5.900 90.00 90.00 90.00
Space group I4/m (No. 87)
One atom of each set of equivalent atoms:
Pm 0.104 0.301 0.000 x8
Pr 0.000 0.000 0.500 x2
Se 0.099 0.304 0.500 x8

## Properties
Raw formation energy in eV/atom: -1.600
Spin magnetization in μB per formula unit: 0.00
VASP energy in eV per cell: -104.2
Density of states at the Fermi level in states/eV per cell: 11.21